(1)
Computed, not measured: crystalline NdDy2Te5 at its relaxed geometry at the GGA-PBE level of DFT. Values from VASP.

Computed properties:
- Space group: I4/mcm, No. 140
- Formation energy from raw total energies: -1.213 eV/atom

```
&SYSTEM
  ibrav = 0, nat = 16, ntyp = 3
/
ATOMIC_SPECIES
Nd 144.24 Nd.upf
Dy 162.50 Dy.upf
Te 127.60 Te.upf
CELL_PARAMETERS angstrom
-3.6806 -5.4108 -4.8889
1.5028 -5.9216 5.4223
-5.1683 7.0199 2.9459
ATOMIC_POSITIONS crystal
Nd 0.7500 0.7500 0.5000
Nd 0.2500 0.2500 0.5000
Dy 0.1511 0.3489 0.0000
Dy 0.6511 0.1511 0.0000
Dy 0.3489 0.8489 0.0000
Dy 0.8489 0.6511 0.0000
Te 0.5102 0.6951 0.7053
Te 0.8049 0.9898 0.2947
Te 0.0000 0.0000 0.0000
Te 0.5000 0.5000 0.0000
Te 0.1951 0.0102 0.7053
Te 0.6951 0.1951 0.7053
Te 0.0102 0.5102 0.7053
Te 0.3049 0.8049 0.2947
Te 0.9898 0.4898 0.2947
Te 0.4898 0.3049 0.2947
```

***

(2)
Computed, not measured: crystalline Ca2ErF8 at its relaxed geometry at the GGA-PBE level of DFT. Values from VASP.

Computed properties:
- Space group: Immm, No. 71
- Formation energy from raw total energies: -3.529 eV/atom

```
&SYSTEM
  ibrav = 0, nat = 11, ntyp = 3
/
ATOMIC_SPECIES
Ca 40.08 Ca.upf
F 19.00 F.upf
Er 167.26 Er.upf
CELL_PARAMETERS angstrom
-3.4620 -1.1669 -1.2845
1.5922 -5.7457 0.9286
-1.1437 3.7435 5.5193
ATOMIC_POSITIONS crystal
Ca 0.1860 0.6860 0.3719
Ca 0.8140 0.3140 0.6281
F 0.6575 0.8964 0.3150
F 0.3425 0.5814 0.6850
F 0.1116 0.1116 0.2231
F 0.0000 0.3327 0.0000
F 0.8884 0.8884 0.7769
F 0.6575 0.4186 0.3150
F 0.3425 0.1036 0.6850
F 0.0000 0.6673 0.0000
Er 0.5000 0.0000 0.0000
```

***

(3)
Computed, not measured: crystalline LiCrRu2 at its relaxed geometry at the GGA-PBE level of DFT. Values from VASP.

Computed properties:
- Calculated formation energy: 3.51 kcal/mol of atoms
- Space group: P4/mmm, No. 123

```
&SYSTEM
  ibrav = 0, nat = 4, ntyp = 3
/
ATOMIC_SPECIES
Cr 52.00 Cr.upf
Li 6.94 Li.upf
Ru 101.07 Ru.upf
CELL_PARAMETERS angstrom
-1.8926 -2.2354 0.3212
2.2135 -1.9187 -0.3103
0.8682 0.0820 5.6862
ATOMIC_POSITIONS crystal
Cr 0.5000 0.5000 0.2500
Li 0.5000 0.5000 0.7500
Ru 0.0000 0.0000 0.9984
Ru 0.0000 0.0000 0.5016
```

***

(4)
Computed, not measured: crystalline YAs5 at its relaxed geometry at the GGA-PBE level of DFT. Values from VASP.

Computed properties:
- Calculated formation energy: -4.37 kcal/mol of atoms
- Space group: P4/mmm, No. 123

```
&SYSTEM
  ibrav = 0, nat = 6, ntyp = 2
/
ATOMIC_SPECIES
Y 88.91 Y.upf
As 74.92 As.upf
CELL_PARAMETERS angstrom
3.7585 0.0000 0.0000
0.0000 3.7585 0.0000
0.0000 0.0000 10.1376
ATOMIC_POSITIONS crystal
Y 0.5000 0.5000 0.0000
As 0.0000 0.0000 0.8767
As 0.0000 0.0000 0.1233
As 0.5000 0.5000 0.6201
As 0.5000 0.5000 0.3799
As 0.0000 0.0000 0.5000
```

***

(5)
Computed, not measured: crystalline Mg2AgHg2 at its relaxed geometry at the GGA-PBE level of DFT. Values from VASP.

Computed properties:
- Calculated formation energy: -1.60 kcal/mol of atoms
- Space group: P4/mbm, No. 127

```
&SYSTEM
  ibrav = 0, nat = 10, ntyp = 3
/
ATOMIC_SPECIES
Mg 24.30 Mg.upf
Hg 200.59 Hg.upf
Ag 107.87 Ag.upf
CELL_PARAMETERS angstrom
7.5503 0.0000 0.0000
0.0000 7.5503 0.0000
0.0000 0.0000 3.8416
ATOMIC_POSITIONS crystal
Mg 0.3513 0.8513 0.0000
Mg 0.8513 0.6487 0.0000
Mg 0.6487 0.1487 0.0000
Mg 0.1487 0.3513 0.0000
Hg 0.1550 0.6550 0.5000
Hg 0.6550 0.8450 0.5000
Hg 0.8450 0.3450 0.5000
Hg 0.3450 0.1550 0.5000
Ag 0.0000 0.0000 0.0000
Ag 0.5000 0.5000 0.0000
```

***

(6)
Computed, not measured: crystalline PaBSe2 at its relaxed geometry at the GGA-PBE level of DFT. Values from VASP.

Computed properties:
- Space group: R-3m, No. 166
- Formation energy from raw total energies: 0.309 eV/atom

```
&SYSTEM
  ibrav = 0, nat = 4, ntyp = 3
/
ATOMIC_SPECIES
B 10.81 B.upf
Pa 231.04 Pa.upf
Se 78.96 Se.upf
CELL_PARAMETERS angstrom
-0.5236 -2.7572 1.6013
1.1291 -0.3621 3.0057
-6.9735 2.1085 4.6103
ATOMIC_POSITIONS crystal
B 0.5000 0.5000 0.5000
Pa 0.0000 0.0000 0.0000
Se 0.1147 0.1147 0.6558
Se 0.8853 0.8853 0.3442
```

***

(7)
Computed, not measured: crystalline TbHo7Th2 at its relaxed geometry at the GGA-PBE level of DFT. Values from VASP.

Computed properties:
- Calculated formation energy: 0.55 kcal/mol of atoms
- Space group: C2/m, No. 12

```
&SYSTEM
  ibrav = 0, nat = 10, ntyp = 3
/
ATOMIC_SPECIES
Tb 158.93 Tb.upf
Ho 164.93 Ho.upf
Th 232.04 Th.upf
CELL_PARAMETERS angstrom
3.4432 -0.8656 0.2117
-2.2953 11.7010 -4.4888
0.7155 -2.2650 9.0599
ATOMIC_POSITIONS crystal
Tb 0.0000 0.0000 0.0000
Ho 0.8056 0.6045 0.2024
Ho 0.1944 0.3955 0.7976
Ho 0.5933 0.1966 0.4021
Ho 0.4067 0.8034 0.5979
Ho 0.9015 0.3008 0.1000
Ho 0.0985 0.6992 0.9000
Ho 0.5000 0.5000 0.5000
Th 0.7003 0.9002 0.3003
Th 0.2997 0.0998 0.6997
```

***

(8)
Computed, not measured: crystalline CdBi2Pd8 at its relaxed geometry at the GGA-PBE level of DFT. Values from VASP.

Computed properties:
- Calculated formation energy: -5.74 kcal/mol of atoms
- Space group: C2/m, No. 12

```
&SYSTEM
  ibrav = 0, nat = 11, ntyp = 3
/
ATOMIC_SPECIES
Cd 112.41 Cd.upf
Bi 208.98 Bi.upf
Pd 106.42 Pd.upf
CELL_PARAMETERS angstrom
-3.5165 1.2410 -1.9233
2.3441 -2.2247 -5.7212
-2.0124 -6.1116 4.3129
ATOMIC_POSITIONS crystal
Cd 0.5000 0.0000 0.0000
Bi 0.7891 0.3361 0.5781
Bi 0.2109 0.6639 0.4219
Pd 0.4143 0.5468 0.8286
Pd 0.6739 0.9148 0.3477
Pd 0.8597 0.8104 0.7193
Pd 0.9633 0.2692 0.9266
Pd 0.1403 0.1896 0.2807
Pd 0.3261 0.0852 0.6523
Pd 0.5857 0.4532 0.1714
Pd 0.0367 0.7308 0.0734
```